The following is a GGA-PBE calculation of crystalline Ce2PuRuN4 at its relaxed geometry, from the Alexandria database.

Summary:
* crystal system: orthorhombic
* E: -9.57 eV/atom

a = 3.378 Å, b = 11.723 Å, c = 11.764 Å
α = 90.00°, β = 90.00°, γ = 90.00°
Space group Cmcm (No. 63)
Inequivalent atoms, fractional coordinates:
Ce (0.000, 0.131, 0.053)
Pu (0.000, 0.387, 0.250)
Ru (0.000, 0.352, 0.750)
N (0.000, 0.038, 0.250)
N (0.000, 0.222, 0.631)
N (0.000, 0.500, 0.000)